Record 1
A geometry-optimized Rb2PrVS4 structure, computed with GGA-PBE. Values from VASP.

```
&SYSTEM
  ibrav = 0, nat = 8, ntyp = 4
/
ATOMIC_SPECIES
S 32.06 S.upf
V 50.94 V.upf
Rb 85.47 Rb.upf
Pr 140.91 Pr.upf
CELL_PARAMETERS angstrom
-0.7006 -1.8464 6.8833
-1.5028 -4.9439 -4.9577
6.6103 1.1744 -2.4909
ATOMIC_POSITIONS angstrom
S -0.3939 -4.2421 3.3292
V 2.5538 -1.8848 -3.7243
Rb 0.1752 -4.3375 -0.8994
S 3.5852 -3.9320 -3.4334
Rb 0.0000 0.0000 0.0000
S 3.6470 -0.5222 -2.2118
Pr 4.2318 -1.2784 0.3341
S 1.9757 -2.5355 1.1855
```

## Properties
Uncorrected formation energy, meV/atom: -1240
E, Ry/atom: -0.3883
Space-group type: I-4

Record 2
A geometry-optimized RbPrVS4 structure, computed with GGA-PBE. Values from VASP.

```
&SYSTEM
  ibrav = 0, nat = 14, ntyp = 4
/
ATOMIC_SPECIES
V 50.94 V.upf
S 32.06 S.upf
Pr 140.91 Pr.upf
Rb 85.47 Rb.upf
CELL_PARAMETERS angstrom
6.7228 0.0000 -0.0523
0.0000 6.6506 0.0000
-2.7029 0.0000 8.7699
ATOMIC_POSITIONS angstrom
V 0.6245 4.9879 2.8549
S -1.9083 6.6351 6.2157
Pr 0.0535 1.6626 4.7933
Rb 1.6717 1.6626 0.5440
Pr 3.9665 4.9879 3.9243
V 3.3955 1.6626 5.8627
S 2.3515 4.9879 1.5019
S -1.9083 3.3408 6.2157
Rb 2.3483 4.9879 8.1736
S 5.9283 3.3098 2.5019
S 1.2261 4.9879 4.9653
S 1.6685 1.6626 7.2157
S 5.9283 0.0155 2.5019
S 2.7938 1.6626 3.7523
```

## Properties
Uncorrected formation energy, meV/atom: -1386
Fermi-level density of states, states/eV per cell: 10.26
E, Ry/atom: -0.4313
Space-group type: P2_1/m

Record 3
A geometry-optimized Rb3Pr3VS8 structure, computed with GGA-PBE. Values from VASP.

```
&SYSTEM
  ibrav = 0, nat = 15, ntyp = 4
/
ATOMIC_SPECIES
Pr 140.91 Pr.upf
S 32.06 S.upf
V 50.94 V.upf
Rb 85.47 Rb.upf
CELL_PARAMETERS angstrom
8.1577 0.0001 0.0000
-4.0787 7.0650 -0.0298
-0.0001 -4.6788 7.8676
ATOMIC_POSITIONS angstrom
Pr -2.0394 1.1931 3.9189
S 4.0789 2.6608 2.5106
S 4.0788 0.0224 5.5083
S 2.2962 3.7024 5.3102
S 0.0000 2.3640 2.3296
S 1.7826 -1.3161 2.5276
S 6.3750 -1.3161 2.5276
V 0.0000 -2.3394 3.9338
S -2.2962 3.7024 5.3102
Pr 2.0394 1.1932 3.9189
Rb -2.0394 3.5325 -0.0149
S 0.0000 -0.2744 5.3273
Pr 4.0788 -2.3393 3.9338
Rb 2.0395 3.5326 -0.0149
Rb 0.0000 0.0000 0.0000
```

## Properties
Uncorrected formation energy, meV/atom: -1526
Fermi-level density of states, states/eV per cell: 6.46
E, Ry/atom: -0.4031
Space-group type: R-3m